First-principles (PBE) data for an optimized crystal structure of PmIn3Cl6, as listed in the Alexandria database.

CIF file:
```
data_PmIn3Cl6
_cell_length_a 7.410
_cell_length_b 8.400
_cell_length_c 12.776
_cell_angle_alpha 90.00
_cell_angle_beta 121.58
_cell_angle_gamma 90.00
_space_group_name_H-M_alt 'P 1 21/c 1'
_space_group_IT_number 14
loop_
_space_group_symop_operation_xyz
'x,y,z'
'-x,-y,-z'
'-x,y+1/2,-z+1/2'
'x,-y+1/2,z+1/2'
loop_
_atom_site_label
_atom_site_fract_x
_atom_site_fract_y
_atom_site_fract_z
Pm1 0.000 0.000 0.000
In1 0.299 0.072 0.774
In2 0.500 0.000 0.500
Cl1 0.092 0.073 0.232
Cl2 0.249 0.734 0.087
Cl3 0.350 0.161 0.037
```

***

First-principles (PBE) data for an optimized crystal structure of PmIn2Cl6, as listed in the Alexandria database.

CIF file:
```
data_PmIn2Cl6
_cell_length_a 4.915
_cell_length_b 6.999
_cell_length_c 14.710
_cell_angle_alpha 90.00
_cell_angle_beta 90.00
_cell_angle_gamma 90.00
_space_group_name_H-M_alt 'I m m m'
_space_group_IT_number 71
_space_group_name_Hall '-I 2 2'
loop_
_atom_site_label
_atom_site_fract_x
_atom_site_fract_y
_atom_site_fract_z
Pm1 0.000 0.000 0.000
In1 0.000 0.000 0.333
Cl1 0.000 0.242 0.156
Cl2 0.000 0.273 0.500
```

***

First-principles (PBE) data for an optimized crystal structure of PmInCl6, as listed in the Alexandria database.

CIF file:
```
data_PmInCl6
_cell_length_a 6.6197
_cell_length_b 6.6197
_cell_length_c 18.1589
_cell_angle_alpha 90.00
_cell_angle_beta 90.00
_cell_angle_gamma 120.00
_space_group_name_H-M_alt 'R -3'
_space_group_IT_number 148
_space_group_name_Hall '-R 3'
loop_
_atom_site_label
_atom_site_fract_x
_atom_site_fract_y
_atom_site_fract_z
Pm1 0.0000 0.0000 0.0000
In1 0.0000 0.0000 0.5000
Cl1 0.0012 0.6835 0.5807
```

***

First-principles (PBE) data for an optimized crystal structure of Pm2InCl2, as listed in the Alexandria database.

CIF file:
```
data_Pm2InCl2
_cell_length_a 4.0369
_cell_length_b 4.0369
_cell_length_c 33.5317
_cell_angle_alpha 90.00
_cell_angle_beta 90.00
_cell_angle_gamma 120.00
_space_group_name_H-M_alt 'R -3 m'
_space_group_IT_number 166
_space_group_name_Hall '-R 3 2"'
loop_
_atom_site_label
_atom_site_fract_x
_atom_site_fract_y
_atom_site_fract_z
Pm1 0.0000 0.0000 0.1018
In1 0.0000 0.0000 0.5000
Cl1 0.0000 0.0000 0.2807
```

***

First-principles (PBE) data for an optimized crystal structure of PmIn2Cl8, as listed in the Alexandria database.

CIF file:
```
data_PmIn2Cl8
_cell_length_a 14.116
_cell_length_b 8.233
_cell_length_c 6.994
_cell_angle_alpha 90.00
_cell_angle_beta 99.54
_cell_angle_gamma 90.00
_space_group_name_H-M_alt 'C 1 2/m 1'
_space_group_IT_number 12
loop_
_space_group_symop_operation_xyz
'x,y,z'
'-x,-y,-z'
'-x,y,-z'
'x,-y,z'
'x+1/2,y+1/2,z'
'-x+1/2,-y+1/2,-z'
'-x+1/2,y+1/2,-z'
'x+1/2,-y+1/2,z'
loop_
_atom_site_label
_atom_site_fract_x
_atom_site_fract_y
_atom_site_fract_z
Pm1 0.000 0.000 0.000
In1 0.188 0.000 0.647
Cl1 0.089 0.215 0.786
Cl2 0.143 0.500 0.244
Cl3 0.164 0.000 0.276
```

***

First-principles (PBE) data for an optimized crystal structure of PmIn2Cl5, as listed in the Alexandria database.

CIF file:
```
data_PmIn2Cl5
_cell_length_a 13.031
_cell_length_b 8.742
_cell_length_c 8.292
_cell_angle_alpha 90.00
_cell_angle_beta 90.00
_cell_angle_gamma 90.00
_space_group_name_H-M_alt 'P n m a'
_space_group_IT_number 62
loop_
_space_group_symop_operation_xyz
'x,y,z'
'-x,-y,-z'
'-x+1/2,-y,z+1/2'
'x+1/2,y,-z+1/2'
'x+1/2,-y+1/2,-z+1/2'
'-x+1/2,y+1/2,z+1/2'
'-x,y+1/2,-z'
'x,-y+1/2,z'
loop_
_atom_site_label
_atom_site_fract_x
_atom_site_fract_y
_atom_site_fract_z
Pm1 0.005 0.250 0.075
In1 0.173 0.005 0.550
Cl1 0.008 0.250 0.412
Cl2 0.073 0.545 0.162
Cl3 0.182 0.250 0.893
Cl4 0.201 0.750 0.842
```

***

First-principles (PBE) data for an optimized crystal structure of PmInCl2, as listed in the Alexandria database.

CIF file:
```
data_PmInCl2
_cell_length_a 3.9092
_cell_length_b 3.9092
_cell_length_c 29.7402
_cell_angle_alpha 90.00
_cell_angle_beta 90.00
_cell_angle_gamma 120.00
_space_group_name_H-M_alt 'R -3 m'
_space_group_IT_number 166
_space_group_name_Hall '-R 3 2"'
loop_
_atom_site_label
_atom_site_fract_x
_atom_site_fract_y
_atom_site_fract_z
Pm1 0.0000 0.0000 0.0000
In1 0.0000 0.0000 0.5000
Cl1 0.0000 0.0000 0.0896
```

***

First-principles (PBE) data for an optimized crystal structure of PmIn3Cl7, as listed in the Alexandria database.

CIF file:
```
data_PmIn3Cl7
_cell_length_a 10.363
_cell_length_b 10.161
_cell_length_c 7.413
_cell_angle_alpha 90.00
_cell_angle_beta 113.07
_cell_angle_gamma 90.00
_space_group_name_H-M_alt 'C 1 m 1'
_space_group_IT_number 8
loop_
_space_group_symop_operation_xyz
'x,y,z'
'x,-y,z'
'x+1/2,y+1/2,z'
'x+1/2,-y+1/2,z'
loop_
_atom_site_label
_atom_site_fract_x
_atom_site_fract_y
_atom_site_fract_z
Pm1 0.000 0.000 0.000
In1 0.455 0.269 0.474
In2 0.463 0.000 0.930
Cl1 0.131 0.000 0.743
Cl2 0.149 0.196 0.240
Cl3 0.332 0.500 0.209
Cl4 0.343 0.299 0.770
Cl5 0.490 0.000 0.538
```

***

First-principles (PBE) data for an optimized crystal structure of Pm3InCl, as listed in the Alexandria database.

CIF file:
```
data_Pm3InCl
_cell_length_a 5.296
_cell_length_b 5.296
_cell_length_c 5.296
_cell_angle_alpha 90.00
_cell_angle_beta 90.00
_cell_angle_gamma 90.00
_space_group_name_H-M_alt 'P m -3 m'
_space_group_IT_number 221
_space_group_name_Hall '-P 4 2 3'
loop_
_atom_site_label
_atom_site_fract_x
_atom_site_fract_y
_atom_site_fract_z
Pm1 0.000 0.000 0.500
In1 0.500 0.500 0.500
Cl1 0.000 0.000 0.000
```

***

First-principles (PBE) data for an optimized crystal structure of PmPuInCl6, as listed in the Alexandria database.

CIF file:
```
data_PmPuInCl6
_cell_length_a 7.2458
_cell_length_b 7.2458
_cell_length_c 13.8555
_cell_angle_alpha 90.00
_cell_angle_beta 90.00
_cell_angle_gamma 120.00
_space_group_name_H-M_alt 'P -3 1 c'
_space_group_IT_number 163
_space_group_name_Hall '-P 3 2c'
loop_
_atom_site_label
_atom_site_fract_x
_atom_site_fract_y
_atom_site_fract_z
Pm1 0.3333 0.6667 0.2500
Pu1 0.3333 0.6667 0.7500
In1 0.0000 0.0000 0.0000
Cl1 0.0081 0.3684 0.1373
```

***

First-principles (PBE) data for an optimized crystal structure of Rb2PmInCl6, as listed in the Alexandria database.

CIF file:
```
data_Rb2PmInCl6
_cell_length_a 7.774
_cell_length_b 8.222
_cell_length_c 13.482
_cell_angle_alpha 90.00
_cell_angle_beta 124.25
_cell_angle_gamma 90.00
_space_group_name_H-M_alt 'P 1 21/c 1'
_space_group_IT_number 14
loop_
_space_group_symop_operation_xyz
'x,y,z'
'-x,-y,-z'
'-x,y+1/2,-z+1/2'
'x,-y+1/2,z+1/2'
loop_
_atom_site_label
_atom_site_fract_x
_atom_site_fract_y
_atom_site_fract_z
Rb1 0.221 0.070 0.247
Pm1 0.500 0.000 0.000
In1 0.000 0.000 0.500
Cl1 0.164 0.181 0.947
Cl2 0.260 0.725 0.934
Cl3 0.386 0.046 0.770
```

***

First-principles (PBE) data for an optimized crystal structure of PmInSnCl6, as listed in the Alexandria database.

CIF file:
```
data_PmInSnCl6
_cell_length_a 7.3514
_cell_length_b 7.3514
_cell_length_c 13.4788
_cell_angle_alpha 90.00
_cell_angle_beta 90.00
_cell_angle_gamma 120.00
_space_group_name_H-M_alt 'P -3 1 c'
_space_group_IT_number 163
_space_group_name_Hall '-P 3 2c'
loop_
_atom_site_label
_atom_site_fract_x
_atom_site_fract_y
_atom_site_fract_z
Pm1 0.3333 0.6667 0.2500
In1 0.0000 0.0000 0.0000
Sn1 0.3333 0.6667 0.7500
Cl1 0.0131 0.3717 0.1359
```

***

Computed VASP energy, in the same sequence as the records: -3.816, -3.765, -3.947, -4.563, -3.609, -4.007, -3.754, -3.671, -4.375, -5.441, -3.947, -4.048 eV per atom.
Computed total magnetic moment, in the same sequence as the records: 0.000, 0.000, 0.000, 0.000, 0.000, 0.000, 0.000, 0.000, 0.000, 0.667, 0.000, 0.000 μB per atom.